Compound: MgVHgF6
Source: the Alexandria database
Functional: PBE+U
Structure: optimized geometry

The total magnetization is 1.10 μB/f.u. Its final energy is -87.9 eV/cell.

Cell lengths 5.404, 5.404, 11.323 Å; angles 90.00, 90.00, 120.00 degrees
Atoms (fractional coordinates):
Mg 0.333 0.667 0.250
Mg 0.667 0.333 0.750
V 0.333 0.667 0.750
V 0.667 0.333 0.250
Hg 0.000 0.000 0.000
Hg 0.000 0.000 0.500
F 0.007 0.379 0.656
F 0.007 0.627 0.844
F 0.373 0.379 0.844
F 0.373 0.993 0.656
F 0.379 0.007 0.156
F 0.379 0.373 0.344
F 0.621 0.627 0.656
F 0.621 0.993 0.844
F 0.627 0.007 0.344
F 0.627 0.621 0.156
F 0.993 0.373 0.156
F 0.993 0.621 0.344